Record 1
Compound: LiPmTe2
Source: the Alexandria database
Functional: PBE-GGA
Structure: optimized geometry

```
data_LiPmTe2
_cell_length_a 4.4367
_cell_length_b 4.4367
_cell_length_c 21.2539
_cell_angle_alpha 90.00
_cell_angle_beta 90.00
_cell_angle_gamma 120.00
_space_group_name_H-M_alt 'R -3 m'
_space_group_IT_number 166
_space_group_name_Hall '-R 3 2"'
loop_
_atom_site_label
_atom_site_type_symbol
_atom_site_fract_x
_atom_site_fract_y
_atom_site_fract_z
_atom_site_occupancy
Li1 Li 0.0000 0.0000 0.0000 1
Pm1 Pm 0.0000 0.0000 0.5000 1
Te1 Te 0.0000 0.0000 0.2536 1
```

Output
Calculated volume, Å³/cell: 362
Magnetization, μB/f.u.: 0.0
E_form (uncorrected), eV/atom: -1.30

***

Record 2
Compound: La3Zn6Rh5
Source: the Alexandria database
Functional: PBE-GGA
Structure: optimized geometry

```
data_La3Zn6Rh5
_cell_length_a 4.199
_cell_length_b 12.861
_cell_length_c 9.708
_cell_angle_alpha 90.00
_cell_angle_beta 90.00
_cell_angle_gamma 90.00
_space_group_name_H-M_alt 'P m m n'
_space_group_IT_number 59
loop_
_space_group_symop_operation_xyz
'x,y,z'
'-x,-y,-z'
'-x+1/2,-y+1/2,z'
'x+1/2,y+1/2,-z'
'x+1/2,-y,-z'
'-x+1/2,y,z'
'-x,y+1/2,-z'
'x,-y+1/2,z'
loop_
_atom_site_label
_atom_site_type_symbol
_atom_site_fract_x
_atom_site_fract_y
_atom_site_fract_z
_atom_site_occupancy
La1 La 0.250 0.065 0.243 1
La2 La 0.250 0.750 0.268 1
Zn1 Zn 0.250 0.066 0.584 1
Zn2 Zn 0.250 0.250 0.018 1
Zn3 Zn 0.250 0.250 0.443 1
Zn4 Zn 0.250 0.604 0.990 1
Rh1 Rh 0.250 0.087 0.855 1
Rh2 Rh 0.250 0.638 0.541 1
Rh3 Rh 0.250 0.750 0.794 1
```

Output
D(E_F), states/eV/cell: 10.7
Energy of formation, eV/atom: -0.572
Calculated volume, Å³/cell: 524
Magnetization, μB/f.u.: 0.0

***

Record 3
Compound: Sn3CF
Source: the Alexandria database
Functional: PBE-GGA
Structure: optimized geometry

```
data_Sn3CF
_cell_length_a 4.771
_cell_length_b 4.771
_cell_length_c 4.771
_cell_angle_alpha 90.00
_cell_angle_beta 90.00
_cell_angle_gamma 90.00
_space_group_name_H-M_alt 'P m -3 m'
_space_group_IT_number 221
_space_group_name_Hall '-P 4 2 3'
loop_
_atom_site_label
_atom_site_type_symbol
_atom_site_fract_x
_atom_site_fract_y
_atom_site_fract_z
_atom_site_occupancy
Sn1 Sn 0.000 0.000 0.500 1
C1 C 0.000 0.000 0.000 1
F1 F 0.500 0.500 0.500 1
```

Output
D(E_F), states/eV/cell: 3.4
Calculated volume, Å³/cell: 109
Magnetization, μB/f.u.: 0.0
Polymorph energy (0 for the lowest one), eV/atom: 0.000
E_form (uncorrected), eV/atom: 0.50

***

Record 4
Compound: HfMgH4
Source: the Alexandria database
Functional: PBE-GGA
Structure: optimized geometry

```
data_HfMgH4
_cell_length_a 4.733
_cell_length_b 4.733
_cell_length_c 9.203
_cell_angle_alpha 90.00
_cell_angle_beta 90.00
_cell_angle_gamma 90.00
_space_group_name_H-M_alt 'I 41/a m d'
_space_group_IT_number 141
loop_
_space_group_symop_operation_xyz
'x,y,z'
'-x,-y,-z'
'-y+1/4,x+3/4,z+1/4'
'y+1/4,-x+3/4,-z+1/4'
'-x+1/2,-y,z+1/2'
'x+1/2,y,-z+1/2'
'y+1/4,-x+1/4,z+3/4'
'-y+1/4,x+1/4,-z+3/4'
'x,-y,-z'
'-x,y,z'
'-y+1/4,-x+1/4,-z+3/4'
'y+1/4,x+1/4,z+3/4'
'-x+1/2,y,-z+1/2'
'x+1/2,-y,z+1/2'
'y+1/4,x+3/4,-z+1/4'
'-y+1/4,-x+3/4,z+1/4'
'x+1/2,y+1/2,z+1/2'
'-x+1/2,-y+1/2,-z+1/2'
'-y+3/4,x+1/4,z+3/4'
'y+3/4,-x+1/4,-z+3/4'
'-x,-y+1/2,z'
'x,y+1/2,-z'
'y+3/4,-x+3/4,z+1/4'
'-y+3/4,x+3/4,-z+1/4'
'x+1/2,-y+1/2,-z+1/2'
'-x+1/2,y+1/2,z+1/2'
'-y+3/4,-x+3/4,-z+1/4'
'y+3/4,x+3/4,z+1/4'
'-x,y+1/2,-z'
'x,-y+1/2,z'
'y+3/4,x+1/4,-z+3/4'
'-y+3/4,-x+1/4,z+3/4'
loop_
_atom_site_label
_atom_site_type_symbol
_atom_site_fract_x
_atom_site_fract_y
_atom_site_fract_z
_atom_site_occupancy
Hf1 Hf 0.000 0.250 0.375 1
Mg1 Mg 0.000 0.250 0.875 1
H1 H 0.244 0.000 0.500 1
```

Output
D(E_F), states/eV/cell: 4.6
Calculated volume, Å³/cell: 206
Magnetization, μB/f.u.: 0.0
Calculated total energy, eV/atom: -4.508

***

Record 5
Compound: NaLi3Sn12
Source: the Alexandria database
Functional: PBE-GGA
Structure: optimized geometry

```
data_NaLi3Sn12
_cell_length_a 4.600
_cell_length_b 4.600
_cell_length_c 19.169
_cell_angle_alpha 90.00
_cell_angle_beta 90.00
_cell_angle_gamma 90.00
_space_group_name_H-M_alt 'P 4/m m m'
_space_group_IT_number 123
_space_group_name_Hall '-P 4 2'
loop_
_atom_site_label
_atom_site_type_symbol
_atom_site_fract_x
_atom_site_fract_y
_atom_site_fract_z
_atom_site_occupancy
Na1 Na 0.000 0.000 0.000 1
Li1 Li 0.000 0.000 0.252 1
Li2 Li 0.000 0.000 0.500 1
Sn1 Sn 0.000 0.500 0.130 1
Sn2 Sn 0.000 0.500 0.377 1
Sn3 Sn 0.500 0.500 0.000 1
Sn4 Sn 0.500 0.500 0.253 1
Sn5 Sn 0.500 0.500 0.500 1
```

Output
D(E_F), states/eV/cell: 3.8
Energy of formation, eV/atom: -0.139
Calculated volume, Å³/cell: 406
Magnetization, μB/f.u.: 0.0

***

Record 6
Compound: Nd2CdGe4Au3
Source: the Alexandria database
Functional: PBE-GGA
Structure: optimized geometry

```
data_Nd2CdGe4Au3
_cell_length_a 4.364
_cell_length_b 4.364
_cell_length_c 11.270
_cell_angle_alpha 90.00
_cell_angle_beta 90.00
_cell_angle_gamma 90.00
_space_group_name_H-M_alt 'P -4 m 2'
_space_group_IT_number 115
loop_
_space_group_symop_operation_xyz
'x,y,z'
'y,-x,-z'
'-x,-y,z'
'-y,x,-z'
'-x,y,z'
'-y,-x,-z'
'x,-y,z'
'y,x,-z'
loop_
_atom_site_label
_atom_site_type_symbol
_atom_site_fract_x
_atom_site_fract_y
_atom_site_fract_z
_atom_site_occupancy
Nd1 Nd 0.000 0.500 0.247 1
Cd1 Cd 0.500 0.500 0.000 1
Ge1 Ge 0.000 0.000 0.500 1
Ge2 Ge 0.000 0.500 0.857 1
Ge3 Ge 0.500 0.500 0.500 1
Au1 Au 0.000 0.000 0.000 1
Au2 Au 0.000 0.500 0.636 1
```

Output
D(E_F), states/eV/cell: 3.3
Energy of formation, eV/atom: -0.492
Calculated volume, Å³/cell: 215
Magnetization, μB/f.u.: 0.0

***

Record 7
Compound: PrDy5Tm
Source: the Alexandria database
Functional: PBE-GGA
Structure: optimized geometry

```
data_PrDy5Tm
_cell_length_a 5.773
_cell_length_b 8.627
_cell_length_c 11.940
_cell_angle_alpha 90.00
_cell_angle_beta 90.00
_cell_angle_gamma 90.00
_space_group_name_H-M_alt 'I m m m'
_space_group_IT_number 71
_space_group_name_Hall '-I 2 2'
loop_
_atom_site_label
_atom_site_type_symbol
_atom_site_fract_x
_atom_site_fract_y
_atom_site_fract_z
_atom_site_occupancy
Pr1 Pr 0.000 0.000 0.000 1
Dy1 Dy 0.000 0.000 0.246 1
Dy2 Dy 0.000 0.324 0.000 1
Dy3 Dy 0.000 0.500 0.500 1
Tm1 Tm 0.000 0.000 0.500 1
```

Output
D(E_F), states/eV/cell: 16.5
Energy of formation, eV/atom: 1.087
Calculated volume, Å³/cell: 595
Magnetization, μB/f.u.: 0.0
Polymorph energy (0 for the lowest one), eV/atom: 0.983

***

Record 8
Compound: AlHg2Pt
Source: the Alexandria database
Functional: PBE-GGA
Structure: optimized geometry

```
data_AlHg2Pt
_cell_length_a 15.267
_cell_length_b 2.815
_cell_length_c 4.214
_cell_angle_alpha 90.00
_cell_angle_beta 105.48
_cell_angle_gamma 90.00
_space_group_name_H-M_alt 'C 1 2/m 1'
_space_group_IT_number 12
loop_
_space_group_symop_operation_xyz
'x,y,z'
'-x,-y,-z'
'-x,y,-z'
'x,-y,z'
'x+1/2,y+1/2,z'
'-x+1/2,-y+1/2,-z'
'-x+1/2,y+1/2,-z'
'x+1/2,-y+1/2,z'
loop_
_atom_site_label
_atom_site_type_symbol
_atom_site_fract_x
_atom_site_fract_y
_atom_site_fract_z
_atom_site_occupancy
Al1 Al 0.000 0.000 0.000 1
Hg1 Hg 0.183 0.000 0.684 1
Pt1 Pt 0.000 0.500 0.500 1
```

Output
D(E_F), states/eV/cell: 1.9
Energy of formation, eV/atom: -0.259
Calculated volume, Å³/cell: 175
Magnetization, μB/f.u.: 0.0

***

Number 5 is which compound?
NaLi3Sn12

***

The lowest calculated volume belongs to which entry?
Sn3CF

***

Which formula does entry 6 have?
Nd2CdGe4Au3